Ac3LaNd6 | PBE-GGA | relaxed

Cell lengths 6.8017, 6.8017, 9.5123 Å; angles 90.00, 90.00, 120.00 degrees
Fractional coordinates of all 10 atoms:
Ac  0.0000  0.0000  0.0000
Ac  0.3333  0.6667  0.0000
Ac  0.6667  0.3333  0.0000
La  0.0000  0.0000  0.5000
Nd  0.0000  0.4031  0.3197
Nd  0.0000  0.5969  0.6803
Nd  0.4031  0.0000  0.3197
Nd  0.4031  0.4031  0.6803
Nd  0.5969  0.0000  0.6803
Nd  0.5969  0.5969  0.3197

Properties
energy of formation from the pure elements	0.14	eV per atom
symmetry	P-31m, No. 162
crystal system	trigonal
V	38.11	Å³ per atom
DFT total energy	-4.441	eV per atom
D(E_F)	1.426	states/eV per atom

***

AcLa2Nd12 | PBE-GGA | relaxed

Cell lengths 6.6401, 6.6401, 26.1404 Å; angles 90.00, 90.00, 90.00 degrees
Fractional coordinates of all 30 atoms:
Ac  0.2500  0.7500  0.0000
Ac  0.7500  0.2500  0.0000
La  0.2500  0.7500  0.2697
La  0.2500  0.7500  0.7303
La  0.7500  0.2500  0.2697
La  0.7500  0.2500  0.7303
Nd  0.0641  0.5641  0.1203
Nd  0.0641  0.9359  0.8797
Nd  0.0818  0.5818  0.5606
Nd  0.0818  0.9182  0.4394
Nd  0.2500  0.2500  0.2200
Nd  0.2500  0.2500  0.3409
Nd  0.2500  0.2500  0.6591
Nd  0.2500  0.2500  0.7800
Nd  0.4182  0.5818  0.4394
Nd  0.4182  0.9182  0.5606
Nd  0.4359  0.5641  0.8797
Nd  0.4359  0.9359  0.1203
Nd  0.5641  0.0641  0.8797
Nd  0.5641  0.4359  0.1203
Nd  0.5818  0.0818  0.4394
Nd  0.5818  0.4182  0.5606
Nd  0.7500  0.7500  0.2200
Nd  0.7500  0.7500  0.3409
Nd  0.7500  0.7500  0.6591
Nd  0.7500  0.7500  0.7800
Nd  0.9182  0.0818  0.5606
Nd  0.9182  0.4182  0.4394
Nd  0.9359  0.0641  0.1203
Nd  0.9359  0.4359  0.8797

Properties
energy of formation from the pure elements	0.26	eV per atom
symmetry	P4/nbm, No. 125
crystal system	tetragonal
V	38.42	Å³ per atom
DFT total energy	-4.482	eV per atom
D(E_F)	1.422	states/eV per atom

***

AcLaNd3 | PBE-GGA | relaxed

Cell lengths 6.4032, 7.1104, 17.7053 Å; angles 90.00, 109.61, 90.00 degrees
Fractional coordinates of all 20 atoms:
Ac  0.0487  0.0573  0.3468
Ac  0.0487  0.4427  0.8468
Ac  0.9513  0.5573  0.1532
Ac  0.9513  0.9427  0.6532
La  0.4510  0.6315  0.7455
La  0.4510  0.8685  0.2455
La  0.5490  0.1315  0.7545
La  0.5490  0.3685  0.2545
Nd  0.2135  0.1682  0.0505
Nd  0.2135  0.3318  0.5505
Nd  0.2142  0.5512  0.3694
Nd  0.2142  0.9488  0.8694
Nd  0.3650  0.6669  0.0470
Nd  0.3650  0.8331  0.5470
Nd  0.6350  0.1669  0.4530
Nd  0.6350  0.3331  0.9530
Nd  0.7858  0.0512  0.1306
Nd  0.7858  0.4488  0.6306
Nd  0.7865  0.6682  0.4495
Nd  0.7865  0.8318  0.9495

Properties
energy of formation from the pure elements	0.07	eV per atom
symmetry	P2_1/c, No. 14
crystal system	monoclinic
V	37.97	Å³ per atom
DFT total energy	-4.596	eV per atom
D(E_F)	1.647	states/eV per atom

***

AcLa2Nd4 | PBE-GGA | relaxed

Cell lengths 7.1382, 7.2424, 10.9136 Å; angles 89.98, 90.00, 74.19 degrees
Fractional coordinates of all 14 atoms:
Ac  0.0000  0.0000  0.0000
Ac  0.0000  0.5000  0.0000
La  0.0000  0.0000  0.5000
La  0.5000  0.0000  0.0000
La  0.5000  0.0000  0.5000
La  0.5000  0.5000  0.5000
Nd  0.1844  0.2734  0.2890
Nd  0.1851  0.2715  0.7116
Nd  0.3172  0.7339  0.2257
Nd  0.3180  0.7319  0.7750
Nd  0.6820  0.2681  0.2250
Nd  0.6828  0.2661  0.7743
Nd  0.8149  0.7285  0.2884
Nd  0.8156  0.7266  0.7110

Properties
energy of formation from the pure elements	0.20	eV per atom
symmetry	P-1, No. 2
crystal system	triclinic
V	38.78	Å³ per atom
DFT total energy	-4.519	eV per atom
D(E_F)	1.602	states/eV per atom

***

Ac4LaNd5 | PBE-GGA | relaxed

Cell lengths 9.0641, 9.0641, 12.1809 Å; angles 90.28, 90.28, 24.09 degrees
Fractional coordinates of all 10 atoms:
Ac  0.0337  0.0337  0.2488
Ac  0.3344  0.3344  0.2506
Ac  0.6656  0.6656  0.7494
Ac  0.9663  0.9663  0.7512
La  0.5000  0.5000  0.5000
Nd  0.1714  0.1714  0.0373
Nd  0.1719  0.1719  0.4606
Nd  0.5000  0.5000  0.0000
Nd  0.8281  0.8281  0.5394
Nd  0.8286  0.8286  0.9627

Properties
energy of formation from the pure elements	0.18	eV per atom
symmetry	C2/m, No. 12
crystal system	monoclinic
V	40.85	Å³ per atom
DFT total energy	-4.342	eV per atom
D(E_F)	1.618	states/eV per atom

***

Ac3La4Nd4 | PBE-GGA | relaxed

Cell lengths 11.3897, 6.9231, 6.9231 Å; angles 51.87, 90.00, 90.00 degrees
Fractional coordinates of all 11 atoms:
Ac  0.0000  0.0000  0.0000
Ac  0.3145  0.1363  0.1363
Ac  0.6855  0.1363  0.1363
La  0.0000  0.2980  0.2980
La  0.2804  0.8302  0.8302
La  0.5000  0.3859  0.3859
La  0.7196  0.8302  0.8302
Nd  0.0000  0.6957  0.6957
Nd  0.2165  0.4989  0.4989
Nd  0.5000  0.6616  0.6616
Nd  0.7835  0.4989  0.4989

Properties
energy of formation from the pure elements	0.13	eV per atom
symmetry	Amm2, No. 38
crystal system	orthorhombic
V	39.04	Å³ per atom
DFT total energy	-4.519	eV per atom
D(E_F)	1.773	states/eV per atom

***

Ac2La5Nd | PBE-GGA | relaxed

Cell lengths 7.5531, 15.1081, 5.3639 Å; angles 90.00, 90.00, 90.00 degrees
Fractional coordinates of all 16 atoms:
Ac  0.2480  0.1246  0.0000
Ac  0.2520  0.6246  0.0000
Ac  0.7480  0.3754  0.0000
Ac  0.7520  0.8754  0.0000
La  0.0000  0.5000  0.5000
La  0.0028  0.7506  0.5000
La  0.2463  0.3745  0.0000
La  0.2537  0.8745  0.0000
La  0.4972  0.2506  0.5000
La  0.5000  0.0000  0.5000
La  0.5028  0.7494  0.5000
La  0.7463  0.1255  0.0000
La  0.7537  0.6255  0.0000
La  0.9972  0.2494  0.5000
Nd  0.0000  0.0000  0.5000
Nd  0.5000  0.5000  0.5000

Properties
energy of formation from the pure elements	0.01	eV per atom
symmetry	Pbam, No. 55
crystal system	orthorhombic
V	38.26	Å³ per atom
DFT total energy	-4.689	eV per atom
D(E_F)	1.869	states/eV per atom

***

Ac3La8Nd2 | PBE-GGA | relaxed

Cell lengths 11.4613, 11.4613, 5.9801 Å; angles 90.06, 90.06, 41.22 degrees
Fractional coordinates of all 13 atoms:
Ac  0.0000  0.0000  0.0000
Ac  0.2822  0.7178  0.5000
Ac  0.7178  0.2822  0.5000
La  0.1364  0.1364  0.4984
La  0.1920  0.5849  0.0002
La  0.3214  0.3214  0.4989
La  0.4151  0.8080  0.9998
La  0.5849  0.1920  0.0002
La  0.6786  0.6786  0.5011
La  0.8080  0.4151  0.9998
La  0.8636  0.8636  0.5016
Nd  0.2406  0.2406  0.9980
Nd  0.7594  0.7594  0.0020

Properties
energy of formation from the pure elements	0.21	eV per atom
symmetry	C2/m, No. 12
crystal system	monoclinic
V	39.82	Å³ per atom
DFT total energy	-4.504	eV per atom
D(E_F)	1.744	states/eV per atom